The following is a DFT calculation (meta-GGA SCAN) of a PBEsol-optimized structure of Ir2Rh.

Cell lengths 2.698, 2.698, 6.025 Å; angles 102.94, 102.94, 90.00 degrees
Atoms (fractional coordinates):
1 Ir 0.668 0.668 0.336
2 Ir 0.332 0.332 0.664
3 Rh 0.000 0.000 0.000

Calculated values
- Calculated formation energy: -23 meV per atom

---

The following is a DFT calculation (meta-GGA SCAN) of a PBEsol-optimized structure of GeSN2O.

Cell lengths 3.557, 3.849, 3.849 Å; angles 90.00, 90.00, 90.00 degrees
Site moments in Bohr magnetons follow the coordinates.
Atoms (fractional coordinates):
1 N 0.000 0.500 0.000  0.63
2 N 0.000 0.000 0.500  0.63
3 Ge 0.000 0.000 0.000  -0.06
4 S 0.500 0.500 0.500  -0.37
5 O 0.500 0.000 0.000  -0.01

Calculated values
- Formation energy (no corrections): 6.0 eV per formula unit

---

The following is a DFT calculation (meta-GGA SCAN) of a PBEsol-optimized structure of KZrIn.

Cell lengths 3.033, 4.663, 7.149 Å; angles 109.03, 102.25, 90.00 degrees
Site moments in Bohr magnetons follow the coordinates.
Atoms (fractional coordinates):
1 K 0.658 0.658 0.317  0.02
2 Zr 0.381 0.381 0.762  0.35
3 In 0.961 0.961 0.922  0.01

Calculated values
- Calculated formation energy: 199 meV per atom

---

The following is a DFT calculation (meta-GGA SCAN) of a PBEsol-optimized structure of Be3Ru2.

Cell lengths 2.629, 2.629, 9.317 Å; angles 81.89, 81.89, 60.00 degrees
Atoms (fractional coordinates):
1 Ru 0.600 0.600 0.200
2 Ru 0.400 0.400 0.800
3 Be 0.000 0.000 0.000
4 Be 0.799 0.799 0.602
5 Be 0.201 0.201 0.398

Calculated values
- Calculated formation energy: 16 meV per atom

---

The following is a DFT calculation (meta-GGA SCAN) of a PBEsol-optimized structure of AsPF2.

Cell lengths 3.633, 3.633, 8.136 Å; angles 102.90, 102.90, 90.00 degrees
Atoms (fractional coordinates):
1 As 0.250 0.750 0.500
2 As 0.000 0.000 0.000
3 F 0.872 0.375 0.250
4 F 0.125 0.128 0.750
5 P 0.750 0.250 0.500
6 F 0.625 0.622 0.750
7 F 0.378 0.875 0.250
8 P 0.500 0.500 0.000

Calculated values
- Formation energy (no corrections): -2.8 eV per formula unit

---

The following is a DFT calculation (meta-GGA SCAN) of a PBEsol-optimized structure of SiHg2Pb.

Cell lengths 4.639, 4.639, 5.361 Å; angles 115.63, 115.63, 90.00 degrees
Atoms (fractional coordinates):
1 Si 0.250 0.750 0.500
2 Pb 0.500 0.500 0.000
3 Hg 0.750 0.250 0.500
4 Hg 0.000 0.000 0.000

Calculated values
- Formation energy (no corrections): 1.8 eV per formula unit

---

The following is a DFT calculation (meta-GGA SCAN) of a PBEsol-optimized structure of BaAl2Hg2.

Cell lengths 4.540, 4.540, 6.746 Å; angles 109.66, 109.66, 90.00 degrees
Atoms (fractional coordinates):
1 Al 0.250 0.750 0.500
2 Hg 0.624 0.624 0.247
3 Al 0.750 0.250 0.500
4 Ba 0.000 0.000 0.000
5 Hg 0.376 0.376 0.753

Calculated values
- Calculated formation energy: -499 meV per atom

---

The following is a DFT calculation (meta-GGA SCAN) of a PBEsol-optimized structure of NaCN2O.

Cell lengths 2.967, 2.967, 6.162 Å; angles 90.00, 90.00, 90.00 degrees
Site moments in Bohr magnetons follow the coordinates.
Atoms (fractional coordinates):
1 N 0.500 0.000 0.000  -0.01
2 N 0.000 0.500 0.000  -0.01
3 C 0.000 0.000 0.000  0.01
4 Na 0.500 0.500 0.500  0.00
5 O 0.000 0.000 0.500  0.81

Calculated values
- Formation energy (no corrections): 7.5 eV per formula unit

---

The following is a DFT calculation (meta-GGA SCAN) of a PBEsol-optimized structure of SrCuSe2.

Cell lengths 4.021, 4.021, 6.592 Å; angles 75.28, 75.28, 63.86 degrees
Site moments in Bohr magnetons follow the coordinates.
Atoms (fractional coordinates):
1 Sr 0.000 0.000 0.500  -0.02
2 Se 0.250 0.250 0.803  -0.19
3 Cu 0.500 0.500 0.000  -0.39
4 Se 0.750 0.750 0.197  -0.19

Calculated values
- Formation energy (no corrections): -3.8 eV per formula unit

---

The following is a DFT calculation (meta-GGA SCAN) of a PBEsol-optimized structure of U2Si5Rh3.

Cell lengths 5.733, 8.016, 8.016 Å; angles 89.93, 110.95, 110.95 degrees
Site moments in Bohr magnetons follow the coordinates.
Atoms (fractional coordinates):
1 Si 0.250 0.778 0.222  -0.03
2 U 0.270 0.404 0.136  1.94
3 Rh 0.750 0.000 0.000  -0.01
4 Si 0.750 0.778 0.222  -0.03
5 U 0.730 0.596 0.864  1.94
6 Si 0.844 0.949 0.738  -0.02
7 U 0.230 0.864 0.596  1.94
8 Rh 0.390 0.250 0.530  -0.05
9 Rh 0.110 0.470 0.750  -0.05
10 Rh 0.890 0.530 0.250  -0.05
11 U 0.770 0.136 0.404  1.94
12 Si 0.250 0.500 0.500  -0.02
13 Si 0.750 0.500 0.500  -0.02
14 Rh 0.610 0.750 0.470  -0.05
15 Rh 0.250 0.000 0.000  -0.01
16 Si 0.156 0.051 0.262  -0.02
17 Si 0.656 0.262 0.051  -0.02
18 Si 0.344 0.738 0.949  -0.02
19 Si 0.750 0.222 0.778  -0.03
20 Si 0.250 0.222 0.778  -0.03

Calculated values
- Formation energy (no corrections): -6.7 eV per formula unit

---

The following is a DFT calculation (meta-GGA SCAN) of a PBEsol-optimized structure of Cd2IrW.

Cell lengths 3.865, 3.865, 5.289 Å; angles 111.43, 111.43, 90.00 degrees
Atoms (fractional coordinates):
1 Cd 0.750 0.250 0.500
2 Ir 0.500 0.500 0.000
3 Cd 0.250 0.750 0.500
4 W 0.000 0.000 0.000

Calculated values
- Calculated formation energy: 577 meV per atom

---

The following is a DFT calculation (meta-GGA SCAN) of a PBEsol-optimized structure of LiTaS2.

Cell lengths 4.339, 4.339, 4.339 Å; angles 60.00, 60.00, 60.00 degrees
Site moments in Bohr magnetons follow the coordinates.
Atoms (fractional coordinates):
1 S 0.750 0.750 0.750  -0.03
2 Ta 0.500 0.500 0.500  1.29
3 S 0.250 0.250 0.250  -0.03
4 Li 0.000 0.000 0.000  0.02

Calculated values
- Formation energy (no corrections): -2.8 eV per formula unit

---

- What is the formula in the tenth record?
  U2Si5Rh3